# 1
Here is a crystal of ZrScHg2 relaxed with PBEsol from the Alexandria database. Energies are from SCAN.

Values from the calculation:
The formation energy comes out at -47.39 kJ/mol of atoms. Its energy above the lowest structure with this stoichiometry is 0.000 eV/f.u. For the spin magnetization, the calculation gives 0.98 μB per cell. As for the crystal system: tetragonal. As for the density of states at the Fermi level: 1.94 states/eV/cell.

Geometry as POSCAR:
```
ZrScHg2
1.0
4.898 0.000 0.000
0.000 4.898 0.000
0.000 0.000 3.472
Zr Sc Hg
1 1 2
Direct
0.000 0.000 0.000
0.500 0.500 0.000
0.000 0.500 0.500
0.500 0.000 0.500
```

---

# 2
Here is a crystal of BPd3Au relaxed with PBEsol from the Alexandria database. Energies are from SCAN.

Values from the calculation:
The formation energy comes out at -15.81 kJ/mol of atoms. For the spin magnetization, the calculation gives 0.00 μB per cell. As for the crystal system: cubic. As for the density of states at the Fermi level: 0.48 states/eV/cell.

Geometry as POSCAR:
```
BPd3Au
1.0
4.124 0.000 0.000
0.000 4.124 0.000
0.000 0.000 4.124
B Pd Au
1 3 1
Direct
0.000 0.000 0.000
0.000 0.000 0.500
0.000 0.500 0.000
0.500 0.000 0.000
0.500 0.500 0.500
```

---

# 3
Here is a crystal of KNb3As relaxed with PBEsol from the Alexandria database. Energies are from SCAN.

Values from the calculation:
The formation energy comes out at 99.45 kJ/mol of atoms. For the spin magnetization, the calculation gives 0.00 μB per cell. As for the crystal system: cubic. As for the density of states at the Fermi level: 4.73 states/eV/cell.

Geometry as POSCAR:
```
KNb3As
1.0
4.897 0.000 0.000
0.000 4.897 0.000
0.000 0.000 4.897
K Nb As
1 3 1
Direct
0.000 0.000 0.000
0.000 0.500 0.500
0.500 0.000 0.500
0.500 0.500 0.000
0.500 0.500 0.500
```

---

# 4
Here is a crystal of Mo2WCS relaxed with PBEsol from the Alexandria database. Energies are from SCAN.

Values from the calculation:
As for the formation energy without anion corrections: 255.5 kJ per mole of atoms. For the spin magnetization, the calculation gives 3.35 μB per cell. As for the crystal system: tetragonal. As for the density of states at the Fermi level: 4.66 states/eV/cell.

Geometry as POSCAR:
```
Mo2WCS
1.0
4.807 0.000 0.000
0.000 4.807 0.000
0.000 0.000 4.358
Mo W C S
2 1 1 1
Direct
0.000 0.500 0.000
0.500 0.000 0.000
0.000 0.000 0.000
0.500 0.500 0.500
0.000 0.000 0.500
```

---

# 5
Here is a crystal of Hg2GeTe relaxed with PBEsol from the Alexandria database. Energies are from SCAN.

Values from the calculation:
As for the formation energy without anion corrections: 37.5 kJ per mole of atoms. For the spin magnetization, the calculation gives 0.00 μB per cell. As for the crystal system: cubic. As for the density of states at the Fermi level: 12.37 states/eV/cell.

Geometry as POSCAR:
```
Hg2GeTe
1.0
7.236 0.000 0.000
0.000 7.236 0.000
0.000 0.000 7.236
Hg Ge Te
8 4 4
Direct
0.250 0.250 0.250
0.250 0.250 0.750
0.250 0.750 0.250
0.250 0.750 0.750
0.750 0.250 0.250
0.750 0.250 0.750
0.750 0.750 0.250
0.750 0.750 0.750
0.000 0.000 0.000
0.000 0.500 0.500
0.500 0.000 0.500
0.500 0.500 0.000
0.000 0.000 0.500
0.000 0.500 0.000
0.500 0.000 0.000
0.500 0.500 0.500
```

---

# 6
Here is a crystal of Be3Fe relaxed with PBEsol from the Alexandria database. Energies are from SCAN.

Values from the calculation:
The formation energy comes out at -23.05 kJ/mol of atoms. For the spin magnetization, the calculation gives 1.70 μB per cell. As for the crystal system: cubic. As for the density of states at the Fermi level: 0.78 states/eV/cell.

Geometry as POSCAR:
```
Be3Fe
1.0
3.215 0.000 0.000
0.000 3.215 0.000
0.000 0.000 3.215
Be Fe
3 1
Direct
0.000 0.000 0.500
0.000 0.500 0.000
0.500 0.000 0.000
0.500 0.500 0.500
```

---

# 7
Here is a crystal of ZrScP2 relaxed with PBEsol from the Alexandria database. Energies are from SCAN.

Values from the calculation:
The formation energy comes out at -155.03 kJ/mol of atoms. Its energy above the lowest structure with this stoichiometry is 0.000 eV/f.u. For the spin magnetization, the calculation gives 0.00 μB per cell. As for the crystal system: trigonal. As for the density of states at the Fermi level: 3.93 states/eV/cell.

Geometry as POSCAR:
```
ZrScP2
1.0
3.692 0.000 0.000
-1.846 3.197 0.000
0.000 0.000 18.216
Zr Sc P
3 3 6
Direct
0.000 0.000 0.000
0.333 0.667 0.667
0.667 0.333 0.333
0.000 0.000 0.500
0.333 0.667 0.167
0.667 0.333 0.833
0.000 0.000 0.249
0.000 0.000 0.751
0.333 0.667 0.417
0.333 0.667 0.916
0.667 0.333 0.084
0.667 0.333 0.583
```

---

# 8
Here is a crystal of ZrAs2Au relaxed with PBEsol from the Alexandria database. Energies are from SCAN.

Values from the calculation:
The formation energy comes out at -49.82 kJ/mol of atoms. For the spin magnetization, the calculation gives 0.00 μB per cell. As for the crystal system: tetragonal. As for the density of states at the Fermi level: 3.21 states/eV/cell.

Geometry as POSCAR:
```
ZrAs2Au
1.0
3.865 0.000 0.000
0.000 3.865 0.000
0.000 0.000 9.633
Zr As Au
2 4 2
Direct
0.000 0.000 0.000
0.500 0.500 0.500
0.000 0.000 0.500
0.000 0.500 0.250
0.500 0.000 0.750
0.500 0.500 0.000
0.000 0.500 0.750
0.500 0.000 0.250
```